Ni2HgRh | the Alexandria database | PBE | optimized geometry; SG = Imm2 (44); formation energy from the elements = 239 meV per atom
1.0
-0.126 -3.817 3.475
3.419 0.068 3.869
-3.897 2.391 -2.399
Rh Hg Ni
1 1 2
Direct
0.517 0.517 0.000
0.240 0.740 0.500
0.981 0.981 0.000
0.761 0.261 0.500

=====

LiCa2HRh | the Alexandria database | PBE | optimized geometry; SG = P4/mmm (123)
1.0
5.050 0.000 0.000
0.000 5.050 0.000
0.000 0.000 3.707
H Li Rh Ca
1 1 1 2
Direct
0.000 0.000 0.000
0.500 0.500 0.500
0.000 0.000 0.500
0.000 0.500 0.000
0.500 0.000 0.000

=====

| no. | calculated total energy (eV per atom) |
| --- | --- |
| 1 | -4.57 |
| 2 | -3.63 |